{
  "formula": "YTm2Ni",
  "functional": "PBE",
  "state": "relaxed",
  "lattice_angstrom": [[6.273, 0.000, 0.000], [0.000, 6.804, 0.000], [0.000, 0.000, 9.470]],
  "species": ["Ni", "Ni", "Ni", "Ni", "Y", "Y", "Y", "Y", "Tm", "Tm", "Tm", "Tm", "Tm", "Tm", "Tm", "Tm"],
  "frac_coords": [[0.060, 0.392, 0.250], [0.440, 0.892, 0.250], [0.560, 0.108, 0.750], [0.940, 0.608, 0.750], [0.636, 0.530, 0.250], [0.864, 0.030, 0.250], [0.364, 0.470, 0.750], [0.136, 0.970, 0.750], [0.679, 0.822, 0.934], [0.179, 0.678, 0.066], [0.679, 0.822, 0.566], [0.821, 0.322, 0.566], [0.821, 0.322, 0.934], [0.321, 0.178, 0.434], [0.321, 0.178, 0.066], [0.179, 0.678, 0.434]],
  "de_polymorph_mev_per_atom": 0,
  "space_group": "Pnma (62)",
  "formation_energy_ev_per_atom": -0.266,
  "energy_ev_per_atom": -5.56,
  "magnetic_moment_mub_per_fu": 0.00,
  "vol_a3_per_fu": 101.1
}